First-principles (GGA-PBE) data for a relaxed structure of La2DyGa, as listed in Alexandria via LeMat-Bulk.

Results
Its symmetry is No. 123. The magnetic moment is 0.0 μB/f.u. For the formation energy, the calculation gives -0.24 eV/atom.

Unit cell a=5.0019 b=4.7956 c=4.7956 alpha=90.00 beta=90.00 gamma=90.00
Last column: nearest neighbours and their distance in Å.
Fractional positions:
La1 0.0000 0.0000 0.5000  4 La 3.39, 4 Dy 3.46, 4 Ga 3.46
La2 0.0000 0.5000 0.0000  4 La 3.39, 4 Dy 3.46, 4 Ga 3.46
Ga1 0.5000 0.5000 0.5000  4 Dy 3.39, 8 La 3.46
Dy1 0.5000 0.0000 0.0000  4 Ga 3.39, 8 La 3.46


First-principles (GGA-PBE) data for a relaxed structure of Pu4Ir2O, as listed in Alexandria via LeMat-Bulk.

Results
Its symmetry is No. 139. The magnetic moment is 21.5 μB/f.u. The uncorrected formation energy comes out at -577 kJ/mol of formula units.

Unit cell a=4.5972 b=4.5972 c=7.9554 alpha=106.79 beta=106.79 gamma=90.00
Last column: nearest neighbours and their distance in Å.
Fractional positions:
Ir1 0.6271 0.6271 0.2542  5 Pu 2.71-2.95
Ir2 0.3729 0.3729 0.7458  5 Pu 2.71-2.95
O1 0.0000 0.0000 0.0000  4 Pu 2.30
Pu1 0.8136 0.8136 0.6271  1 O 2.71, 1 Ir 2.71
Pu2 0.1864 0.1864 0.3729  1 O 2.71, 1 Ir 2.71
Pu3 0.0000 0.5000 0.0000  2 O 2.30
Pu4 0.5000 0.0000 0.0000  2 O 2.30


First-principles (GGA-PBE) data for a relaxed structure of NbV3Sb, as listed in Alexandria via LeMat-Bulk.

Results
Its symmetry is No. 221. The magnetic moment is 0.0 μB/f.u. The uncorrected formation energy comes out at 594 kJ/mol of formula units.

Unit cell a=4.6331 b=4.6331 c=4.6331 alpha=90.00 beta=90.00 gamma=90.00
Last column: nearest neighbours and their distance in Å.
Fractional positions:
Sb1 0.5000 0.5000 0.5000  12 V 3.28
Nb1 0.0000 0.0000 0.0000  6 V 2.32
V1 0.0000 0.5000 0.0000  2 Nb 2.32
V2 0.0000 0.0000 0.5000  2 Nb 2.32
V3 0.5000 0.0000 0.0000  2 Nb 2.32


First-principles (GGA-PBE) data for a relaxed structure of Cs3Np3InTe8, as listed in Alexandria via LeMat-Bulk.

Results
Its symmetry is No. 166. The magnetic moment is 10.7 μB/f.u. The uncorrected formation energy comes out at -1105 kJ/mol of formula units.

Unit cell a=9.0773 b=9.0801 c=10.4181 alpha=115.85 beta=90.00 gamma=119.99
Last column: nearest neighbours and their distance in Å.
Fractional positions:
Cs1 0.0000 0.0000 0.0000  6 Te 3.83-3.87
Cs2 0.0000 0.5000 0.0000  6 Te 3.84-3.88
Cs3 0.5000 0.5000 0.0000  6 Te 3.84-3.88
Np1 0.5000 0.0000 0.5000  6 Te 3.09-3.13
Np2 0.5000 0.5000 0.5000  6 Te 3.09-3.12
Np3 0.0000 0.5000 0.5000  6 Te 3.09-3.12
In1 0.0000 0.0000 0.5000  6 Te 3.14
Te1 0.2701 0.5402 0.3109  3 Np 3.12-3.13
Te2 0.7299 0.4598 0.6891  3 Np 3.12-3.13
Te3 0.7690 0.5380 0.3151  2 Np 3.09, 1 In 3.14
Te4 0.2310 0.4620 0.6849  2 Np 3.09, 1 In 3.14
Te5 0.7694 0.0457 0.3151  2 Np 3.09, 1 In 3.14
Te6 0.2306 0.9543 0.6849  2 Np 3.09, 1 In 3.14
Te7 0.2763 0.0457 0.3151  2 Np 3.09, 1 In 3.14
Te8 0.7237 0.9543 0.6849  2 Np 3.09, 1 In 3.14


First-principles (GGA-PBE) data for a relaxed structure of ZnClF2, as listed in Alexandria via LeMat-Bulk.

Results
Its symmetry is No. 122. The magnetic moment is 1.0 μB/f.u. The uncorrected formation energy comes out at -518 kJ/mol of formula units.

Unit cell a=6.1050 b=6.1050 c=6.0996 alpha=59.97 beta=59.97 gamma=90.00
Last column: nearest neighbours and their distance in Å.
Fractional positions:
Zn1 0.0000 0.0000 0.0000  4 F 1.92
Zn2 0.7500 0.2500 0.5000  4 F 1.92
F1 0.8010 0.1250 0.2500  2 Zn 1.92
F2 0.9490 0.6250 0.2500  2 Zn 1.92
F3 0.3750 0.1990 0.7500  2 Zn 1.92
F4 0.8750 0.0510 0.7500  2 Zn 1.92
Cl1 0.5000 0.5000 0.0000  4 F 3.20
Cl2 0.2500 0.7500 0.5000  4 F 3.20


First-principles (GGA-PBE) data for a relaxed structure of TaMn2Cu, as listed in Alexandria via LeMat-Bulk.

Results
Its symmetry is No. 160. The magnetic moment is 0.5 μB/f.u. For the formation energy, the calculation gives 0.29 eV/atom.

Unit cell a=8.8278 b=8.8278 c=8.8278 alpha=17.87 beta=17.87 gamma=17.87
Last column: nearest neighbours and their distance in Å.
Fractional positions:
Cu1 0.7442 0.7442 0.7442  3 Mn 2.62, 6 Cu 2.74, 3 Ta 2.82
Mn1 0.9976 0.9976 0.9976  9 Mn 2.48-2.74, 3 Cu 2.62
Mn2 0.2577 0.2577 0.2577  9 Mn 2.48-2.74
Ta1 0.5005 0.5005 0.5005  6 Ta 2.74, 3 Cu 2.82, 3 Mn 2.84


First-principles (GGA-PBE) data for a relaxed structure of Ti2MnCoSi, as listed in Alexandria via LeMat-Bulk.

Results
Its symmetry is No. 123. The magnetic moment is 2.8 μB/f.u. The uncorrected formation energy comes out at 158 kJ/mol of formula units.

Unit cell a=4.3647 b=4.4267 c=4.3647 alpha=90.00 beta=90.00 gamma=90.00
Last column: nearest neighbours and their distance in Å.
Fractional positions:
Si1 0.5000 0.5000 0.5000  4 Mn 3.09, 8 Ti 3.11
Mn1 0.0000 0.5000 0.0000  2 Co 2.21
Co1 0.0000 0.0000 0.0000  4 Ti 2.18, 2 Mn 2.21
Ti1 0.0000 0.0000 0.5000  2 Co 2.18
Ti2 0.5000 0.0000 0.0000  2 Co 2.18


First-principles (GGA-PBE) data for a relaxed structure of Ba3IrCl, as listed in Alexandria via LeMat-Bulk.

Results
Its symmetry is No. 11. The magnetic moment is 0.0 μB/f.u. The uncorrected formation energy comes out at -393 kJ/mol of formula units.

Unit cell a=6.3831 b=6.3614 c=10.9130 alpha=106.94 beta=90.00 gamma=90.00
Last column: nearest neighbours and their distance in Å.
Fractional positions:
Ba1 0.2500 0.2231 0.9460  1 Ir 2.82
Ba2 0.7500 0.7769 0.0540  1 Ir 2.82
Ba3 0.2500 0.9321 0.3640  3 Ir 3.22-3.25
Ba4 0.7500 0.0679 0.6360  3 Ir 3.22-3.25
Ba5 0.2500 0.5839 0.6675  2 Ir 3.18, 1 Cl 3.35
Ba6 0.7500 0.4161 0.3325  2 Ir 3.18, 1 Cl 3.35
Ir1 0.2500 0.0881 0.6757  1 Ba 2.82
Ir2 0.7500 0.9119 0.3243  1 Ba 2.82
Cl1 0.2500 0.7441 0.9880  5 Ba 3.21-3.35
Cl2 0.7500 0.2559 0.0120  5 Ba 3.21-3.35


Q: What is the formula in the first record?
A: La2DyGa